Record 1
Density functional theory data (PBE) for Cu2ReAs after structural relaxation.

Computed properties:
M_tot: 0.00 μB/f.u.
E_form: 0.423 eV/atom
space group: P4/mmm

Unit cell a=3.369 b=3.369 c=4.982 alpha=90.00 beta=90.00 gamma=90.00
Fractional positions:
As 0.500 0.500 0.750
Cu 0.000 0.000 0.007
Cu 0.000 0.000 0.493
Re 0.500 0.500 0.250

---

Record 2
Density functional theory data (PBE) for LiY2Sn after structural relaxation.

Computed properties:
M_tot: 0.48 μB/f.u.
E_form: -0.445 eV/atom
space group: P4/mmm

Unit cell a=4.242 b=4.926 c=4.926 alpha=90.00 beta=90.00 gamma=90.00
Each line ends with the local moment (μB).
Fractional positions:
Y 0.000 0.000 0.500  0.14
Y 0.000 0.500 0.000  0.14
Sn 0.500 0.000 0.000  -0.01
Li 0.500 0.500 0.500  0.01